PBE TmMgZnSn, relaxed; E_tot = -3.107 eV per atom; energy relative to the lowest polymorph listed for this composition = 0.48 eV/f.u.; total magnetization = 0.00 μB/f.u.; calculated formation energy = -0.27 eV/atom; SG = No. 216
1.0
0.000 3.552 3.552
3.552 0.000 3.552
3.552 3.552 0.000
Tm Mg Zn Sn
1 1 1 1
direct
0.000 0.000 0.000
0.500 0.500 0.500
0.250 0.250 0.250
0.750 0.750 0.750


PBE TmMg2ZnSn2, relaxed; E_tot = -3.115 eV per atom; total magnetization = 0.00 μB/f.u.; calculated formation energy = -0.29 eV/atom; SG = No. 26
1.0
4.436 0.000 0.000
0.000 8.690 0.000
0.000 0.000 7.287
Tm Mg Zn Sn
2 4 2 4
direct
0.000 0.052 0.000
0.000 0.948 0.500
0.000 0.329 0.381
0.000 0.671 0.881
0.500 0.431 0.065
0.500 0.569 0.565
0.500 0.181 0.671
0.500 0.819 0.171
0.000 0.351 0.780
0.000 0.649 0.280
0.500 0.133 0.282
0.500 0.867 0.782


PBE MgU2Sn9, relaxed; E_tot = -5.082 eV per atom; total magnetization = 5.22 μB/f.u.; calculated formation energy = -0.07 eV/atom; SG = No. 123
1.0
4.609 0.000 0.000
0.000 4.609 0.000
0.000 0.000 14.339
Mg U Sn
1 2 9
direct
0.000 0.000 0.000
0.000 0.000 0.341
0.000 0.000 0.659
0.000 0.500 0.168
0.000 0.500 0.500
0.000 0.500 0.832
0.500 0.000 0.168
0.500 0.000 0.500
0.500 0.000 0.832
0.500 0.500 0.000
0.500 0.500 0.334
0.500 0.500 0.666


PBE MgUZnSn, relaxed; E_tot = -4.446 eV per atom; total magnetization = 2.81 μB/f.u.; calculated formation energy = 0.09 eV/atom; SG = No. 216
1.0
0.000 3.566 3.566
3.566 0.000 3.566
3.566 3.566 0.000
Mg U Zn Sn
1 1 1 1
direct
0.000 0.000 0.000
0.500 0.500 0.500
0.750 0.750 0.750
0.250 0.250 0.250


PBE Mg2VSn2, relaxed; E_tot = -3.945 eV per atom; total magnetization = 2.73 μB/f.u.; calculated formation energy = 0.12 eV/atom; SG = No. 127
1.0
7.305 0.000 0.000
0.000 7.305 0.000
0.000 0.000 4.277
Mg V Sn
4 2 4
direct
0.166 0.334 0.000
0.334 0.834 0.000
0.666 0.166 0.000
0.834 0.666 0.000
0.000 0.000 0.500
0.500 0.500 0.500
0.142 0.642 0.500
0.358 0.142 0.500
0.642 0.858 0.500
0.858 0.358 0.500


PBE Mg2VSn, relaxed; E_tot = -3.592 eV per atom; total magnetization = 2.25 μB/f.u.; calculated formation energy = 0.49 eV/atom; SG = No. 122
1.0
-4.000 4.000 2.806
4.000 -4.000 2.806
4.000 4.000 -2.806
Mg V Sn
4 2 2
direct
0.118 0.625 0.993
0.375 0.368 0.493
0.632 0.125 0.007
0.875 0.882 0.507
0.000 0.000 0.000
0.750 0.250 0.500
0.250 0.750 0.500
0.500 0.500 0.000


Question: Look up the E_tot of the first one.
Answer: -3.107 eV per atom